Below is a geometry-optimized CuAsH2Pd5 structure, with properties calculated at the PBE-GGA level.

E, eV/cell: -41.7

The structure in CIF format:
```
data_CuAsH2Pd5
_space_group_name_H-M_alt 'P 4/m m m'
_space_group_IT_number 123
_space_group_name_Hall '-P 4 2'
_cell_length_a 4.026
_cell_length_b 4.026
_cell_length_c 7.337
_cell_angle_alpha 90.00
_cell_angle_beta 90.00
_cell_angle_gamma 90.00
loop_
_atom_site_label
_atom_site_type_symbol
_atom_site_fract_x
_atom_site_fract_y
_atom_site_fract_z
Cu1 Cu 0.000 0.000 0.000
As1 As 0.500 0.500 0.500
H1 H 0.000 0.000 0.240
Pd1 Pd 0.000 0.000 0.500
Pd2 Pd 0.000 0.500 0.230
```


Below is a geometry-optimized CuAs2HRh structure, with properties calculated at the PBE-GGA level.

E, eV/cell: -23.1

The structure in CIF format:
```
data_CuAs2HRh
_space_group_name_H-M_alt 'P 4/m m m'
_space_group_IT_number 123
_space_group_name_Hall '-P 4 2'
_cell_length_a 4.446
_cell_length_b 4.446
_cell_length_c 3.421
_cell_angle_alpha 90.00
_cell_angle_beta 90.00
_cell_angle_gamma 90.00
loop_
_atom_site_label
_atom_site_type_symbol
_atom_site_fract_x
_atom_site_fract_y
_atom_site_fract_z
Cu1 Cu 0.000 0.000 0.000
As1 As 0.000 0.500 0.500
H1 H 0.500 0.500 0.500
Rh1 Rh 0.500 0.500 0.000
```


Copy entry 1 word for word.
Below is a geometry-optimized CuAsH2Pd5 structure, with properties calculated at the PBE-GGA level.

E, eV/cell: -41.7

The structure in CIF format:
```
data_CuAsH2Pd5
_space_group_name_H-M_alt 'P 4/m m m'
_space_group_IT_number 123
_space_group_name_Hall '-P 4 2'
_cell_length_a 4.026
_cell_length_b 4.026
_cell_length_c 7.337
_cell_angle_alpha 90.00
_cell_angle_beta 90.00
_cell_angle_gamma 90.00
loop_
_atom_site_label
_atom_site_type_symbol
_atom_site_fract_x
_atom_site_fract_y
_atom_site_fract_z
Cu1 Cu 0.000 0.000 0.000
As1 As 0.500 0.500 0.500
H1 H 0.000 0.000 0.240
Pd1 Pd 0.000 0.000 0.500
Pd2 Pd 0.000 0.500 0.230
```


- Which value of E does entry 2 give?
  -23.1 eV/cell


- Which value of E does entry 1 give?
  -41.7 eV/cell


What did the second record say?
Below is a geometry-optimized CuAs2HRh structure, with properties calculated at the PBE-GGA level.

E, eV/cell: -23.1

The structure in CIF format:
```
data_CuAs2HRh
_space_group_name_H-M_alt 'P 4/m m m'
_space_group_IT_number 123
_space_group_name_Hall '-P 4 2'
_cell_length_a 4.446
_cell_length_b 4.446
_cell_length_c 3.421
_cell_angle_alpha 90.00
_cell_angle_beta 90.00
_cell_angle_gamma 90.00
loop_
_atom_site_label
_atom_site_type_symbol
_atom_site_fract_x
_atom_site_fract_y
_atom_site_fract_z
Cu1 Cu 0.000 0.000 0.000
As1 As 0.000 0.500 0.500
H1 H 0.500 0.500 0.500
Rh1 Rh 0.500 0.500 0.000
```